PmBeCuAu6, optimized geometry, DFT GGA-PBE; ρ = 13.59 Mg/m³; E_tot = -3.789 eV per atom; space group = Imma (74)
1.0
-5.795 3.217 2.561
-4.262 -7.692 0.019
6.759 1.292 3.813
Au Cu Pm Be
12 2 2 2
Direct
0.661 0.870 0.750 Au
0.089 0.870 0.750 Au
0.573 0.823 0.146 Au
0.339 0.620 0.250 Au
0.911 0.130 0.250 Au
0.089 0.380 0.750 Au
0.427 0.177 0.854 Au
0.339 0.130 0.250 Au
0.661 0.380 0.750 Au
0.911 0.620 0.250 Au
0.991 0.241 0.982 Au
0.009 0.759 0.018 Au
0.000 0.000 0.500 Cu
0.500 0.000 0.500 Cu
0.716 0.466 0.431 Pm
0.284 0.534 0.569 Pm
0.500 0.000 0.000 Be
0.500 0.500 0.000 Be


Ca2TbMg3, optimized geometry, DFT GGA-PBE; ρ = 2.89 Mg/m³; E_tot = -2.311 eV per atom; space group = P4/mmm (123)
1.0
3.820 0.000 0.000
0.000 3.820 0.000
0.000 0.000 12.264
Tb Ca Mg
1 2 3
Direct
0.500 0.500 0.500 Tb
0.500 0.500 0.828 Ca
0.500 0.500 0.172 Ca
0.000 0.000 0.656 Mg
0.000 0.000 0.000 Mg
0.000 0.000 0.344 Mg